# 1
Entry from the Alexandria database: a relaxed PmHo2Tm2Sc crystal (PBE).

## Properties
The formation energy is 0.102 eV/atom. The symmetry is Pnnm, No. 58. Its total magnetic moment is 0.000 μB per atom.

a = 5.498 Å, b = 9.591 Å, c = 6.807 Å
α = 90.00°, β = 90.00°, γ = 90.00°
Atoms (fractional coordinates):
Pm (0.500, 0.500, 0.000)
Pm (0.000, 0.000, 0.500)
Sc (0.500, 0.500, 0.500)
Sc (0.000, 0.000, 0.000)
Ho (0.000, 0.666, 0.746)
Ho (0.000, 0.334, 0.254)
Ho (0.500, 0.834, 0.246)
Ho (0.500, 0.166, 0.754)
Tm (0.000, 0.667, 0.251)
Tm (0.500, 0.833, 0.751)
Tm (0.000, 0.333, 0.749)
Tm (0.500, 0.167, 0.249)

=====

# 2
Entry from the Alexandria database: a relaxed CuRhPb2S crystal (PBE).

## Properties
The symmetry is P4/mmm, No. 123. For the energy relative to the elements, uncorrected, the calculation gives 641 meV per atom. Its total magnetic moment is 0.000 μB per atom.

a = 5.157 Å, b = 4.654 Å, c = 5.157 Å
α = 90.00°, β = 90.00°, γ = 90.00°
Atoms (fractional coordinates):
S (0.500, 0.500, 0.500)
Cu (0.000, 0.000, 0.000)
Pb (0.500, 0.000, 0.000)
Pb (0.000, 0.000, 0.500)
Rh (0.000, 0.500, 0.000)

=====

# 3
Entry from the Alexandria database: a relaxed Li3Cu4SnO8 crystal (PBE).

## Properties
The symmetry is C2/m, No. 12. For the energy relative to the elements, uncorrected, the calculation gives -1149 meV per atom. Its total magnetic moment is 0.083 μB per atom.

a = 6.284 Å, b = 6.284 Å, c = 5.802 Å
α = 63.77°, β = 63.77°, γ = 54.97°
Each line ends with the local moment (μB).
Atoms (fractional coordinates):
Li (0.000, 0.500, 0.000)  0.01
Li (0.000, 0.000, 0.500)  0.00
Li (0.500, 0.000, 0.000)  0.01
Sn (0.500, 0.500, 0.000)  0.00
O (0.280, 0.280, 0.253)  0.11
O (0.720, 0.720, 0.747)  0.11
O (0.704, 0.236, 0.762)  0.01
O (0.236, 0.704, 0.762)  0.01
O (0.764, 0.296, 0.238)  0.01
O (0.296, 0.764, 0.238)  0.01
O (0.199, 0.199, 0.760)  0.13
O (0.801, 0.801, 0.240)  0.13
Cu (0.000, 0.000, 0.000)  0.01
Cu (0.500, 0.000, 0.500)  0.37
Cu (0.000, 0.500, 0.500)  0.37
Cu (0.500, 0.500, 0.500)  0.01

=====

# 4
Entry from the Alexandria database: a relaxed Tb5Tm2Mg crystal (PBE).

## Properties
The formation energy is 0.015 eV/atom. The symmetry is P-1, No. 2. Its total magnetic moment is 0.000 μB per atom.

a = 7.744 Å, b = 9.225 Å, c = 18.582 Å
α = 82.15°, β = 94.35°, γ = 158.04°
Atoms (fractional coordinates):
Tb (0.006, 0.068, 0.656)
Tb (0.998, 0.560, 0.909)
Tb (0.994, 0.932, 0.344)
Tb (0.992, 0.056, 0.159)
Tb (0.002, 0.562, 0.406)
Tb (0.002, 0.317, 0.780)
Tb (0.008, 0.944, 0.841)
Tb (0.998, 0.438, 0.594)
Tb (0.002, 0.440, 0.091)
Tb (0.998, 0.683, 0.220)
Mg (0.996, 0.308, 0.283)
Mg (0.004, 0.692, 0.717)
Tm (0.004, 0.191, 0.968)
Tm (0.996, 0.809, 0.032)
Tm (0.997, 0.184, 0.472)
Tm (0.003, 0.816, 0.528)

=====

# 5
Entry from the Alexandria database: a relaxed Ba2CeSnSe5 crystal (PBE).

## Properties
The symmetry is Cmc2_1, No. 36. For the energy relative to the elements, uncorrected, the calculation gives -1531 meV per atom. Its total magnetic moment is 0.070 μB per atom.

a = 4.528 Å, b = 9.595 Å, c = 13.612 Å
α = 90.00°, β = 90.00°, γ = 103.65°
Each line ends with the local moment (μB).
Atoms (fractional coordinates):
Sn (0.533, 0.066, 0.955)  0.00
Sn (0.467, 0.934, 0.455)  0.00
Ce (0.212, 0.424, 0.016)  0.65
Ce (0.788, 0.576, 0.516)  0.65
Ba (0.108, 0.217, 0.684)  0.00
Ba (0.135, 0.271, 0.307)  0.00
Ba (0.865, 0.729, 0.807)  0.00
Ba (0.892, 0.783, 0.184)  0.00
Se (0.509, 0.017, 0.263)  0.01
Se (0.283, 0.566, 0.656)  -0.02
Se (0.682, 0.364, 0.877)  -0.01
Se (0.318, 0.636, 0.377)  -0.01
Se (0.058, 0.116, 0.068)  -0.01
Se (0.366, 0.732, 0.998)  -0.01
Se (0.942, 0.884, 0.568)  -0.01
Se (0.491, 0.983, 0.763)  0.01
Se (0.634, 0.268, 0.498)  -0.01
Se (0.717, 0.434, 0.156)  -0.02

=====

# 6
Entry from the Alexandria database: a relaxed La4Bi3H4 crystal (PBE).

## Properties
Its total energy is -4.7092 eV/atom. The symmetry is Immm, No. 71. Its total magnetic moment is 0.000 μB per atom.

a = 4.532 Å, b = 7.773 Å, c = 8.577 Å
α = 116.94°, β = 105.32°, γ = 90.00°
Atoms (fractional coordinates):
La (0.781, 0.281, 0.561)
La (0.500, 0.772, 0.000)
La (0.219, 0.719, 0.439)
La (0.500, 0.228, 0.000)
Bi (0.881, 0.881, 0.762)
Bi (0.000, 0.500, 0.000)
Bi (0.119, 0.119, 0.238)
H (0.679, 0.492, 0.358)
H (0.321, 0.508, 0.642)
H (0.679, 0.865, 0.358)
H (0.321, 0.135, 0.642)